# 1
Compound: NpSnBiAu
Source: the Alexandria database
Functional: PBE-GGA
Structure: relaxed

DOS at the Fermi energy: 2.67 states/eV/atom
E_form: -104 meV/atom
energy above the lowest structure with this stoichiometry: 0.000 eV/atom
V: 24.7 Å³/atom

a = 4.2970 Å, b = 4.6893 Å, c = 4.8965 Å
α = 90.00°, β = 90.00°, γ = 90.00°
Fractional coordinates of all 4 atoms:
Np (0.5000, 0.0000, 0.5000)
Sn (0.0000, 0.0000, 0.0000)
Bi (0.0000, 0.5000, 0.5000)
Au (0.5000, 0.5000, 0.0000)

# 2
Compound: Pr12Cr3N5
Source: the Alexandria database
Functional: PBE-GGA
Structure: relaxed

DOS at the Fermi energy: 0.97 states/eV/atom
energy relative to the elements, uncorrected: -653 kJ/mol of formula units
V: 26.7 Å³/atom

a = 14.0564 Å, b = 14.0564 Å, c = 14.0564 Å
α = 109.47°, β = 109.47°, γ = 109.47°
Fractional coordinates of all 80 atoms:
Pr (0.7000, 0.1118, 0.0155)
Pr (0.3156, 0.5155, 0.4038)
Pr (0.9845, 0.3882, 0.3000)
Pr (0.5155, 0.2000, 0.1118)
Pr (0.5882, 0.7000, 0.6844)
Pr (0.9845, 0.5962, 0.1844)
Pr (0.3156, 0.8000, 0.4118)
Pr (0.0962, 0.9118, 0.1118)
Pr (0.5962, 0.9845, 0.6844)
Pr (0.7000, 0.5882, 0.1844)
Pr (0.8000, 0.4845, 0.3882)
Pr (0.8156, 0.9038, 0.0155)
Pr (0.1118, 0.7000, 0.5155)
Pr (0.3882, 0.4038, 0.0882)
Pr (0.0882, 0.9038, 0.3882)
Pr (0.4118, 0.1118, 0.5962)
Pr (0.0882, 0.1844, 0.2000)
Pr (0.4845, 0.6844, 0.0962)
Pr (0.8156, 0.9118, 0.3000)
Pr (0.1118, 0.4118, 0.0962)
Pr (0.3882, 0.9845, 0.8000)
Pr (0.5962, 0.6118, 0.4118)
Pr (0.9038, 0.8156, 0.5155)
Pr (0.8000, 0.3156, 0.9118)
Pr (0.4038, 0.3882, 0.5882)
Pr (0.0962, 0.1844, 0.4845)
Pr (0.2000, 0.6844, 0.0882)
Pr (0.1844, 0.0882, 0.7000)
Pr (0.6118, 0.0155, 0.2000)
Pr (0.8882, 0.5882, 0.9038)
Pr (0.5155, 0.3156, 0.9038)
Pr (0.5882, 0.8882, 0.4038)
Pr (0.9118, 0.8156, 0.8000)
Pr (0.9118, 0.0962, 0.6118)
Pr (0.8882, 0.3000, 0.4845)
Pr (0.1844, 0.0962, 0.9845)
Pr (0.6118, 0.5962, 0.9118)
Pr (0.4038, 0.0155, 0.3156)
Pr (0.3000, 0.4118, 0.8156)
Pr (0.2000, 0.5155, 0.6118)
Pr (0.9038, 0.0882, 0.8882)
Pr (0.6844, 0.2000, 0.5882)
Pr (0.4845, 0.8000, 0.8882)
Pr (0.0155, 0.4038, 0.8156)
Pr (0.4118, 0.3000, 0.3156)
Pr (0.0155, 0.6118, 0.7000)
Pr (0.6844, 0.4845, 0.5962)
Pr (0.3000, 0.8882, 0.9845)
Cr (0.7500, 0.3750, 0.1250)
Cr (0.8750, 0.7500, 0.1250)
Cr (0.3750, 0.7500, 0.6250)
Cr (0.2500, 0.1250, 0.3750)
Cr (0.8750, 0.1250, 0.2500)
Cr (0.3750, 0.6250, 0.2500)
Cr (0.6250, 0.3750, 0.7500)
Cr (0.1250, 0.8750, 0.7500)
Cr (0.7500, 0.8750, 0.6250)
Cr (0.6250, 0.2500, 0.3750)
Cr (0.1250, 0.2500, 0.8750)
Cr (0.2500, 0.6250, 0.8750)
N (0.1250, 0.3750, 0.2500)
N (0.0000, 0.5000, 0.0000)
N (0.0000, 0.0000, 0.0000)
N (0.3750, 0.2500, 0.1250)
N (0.5000, 0.0000, 0.5000)
N (0.5000, 0.5000, 0.0000)
N (0.1250, 0.7500, 0.3750)
N (0.7500, 0.1250, 0.8750)
N (0.7500, 0.6250, 0.3750)
N (0.3750, 0.1250, 0.7500)
N (0.6250, 0.8750, 0.2500)
N (0.5000, 0.5000, 0.5000)
N (0.5000, 0.0000, 0.0000)
N (0.0000, 0.0000, 0.5000)
N (0.2500, 0.3750, 0.6250)
N (0.2500, 0.8750, 0.1250)
N (0.0000, 0.5000, 0.5000)
N (0.8750, 0.2500, 0.6250)
N (0.6250, 0.7500, 0.8750)
N (0.8750, 0.6250, 0.7500)

# 3
Compound: Pr12Ho6Pu
Source: the Alexandria database
Functional: PBE-GGA
Structure: relaxed

DOS at the Fermi energy: 1.83 states/eV/atom
E_form: 39 meV/atom
V: 34.1 Å³/atom

a = 9.6307 Å, b = 9.6307 Å, c = 9.6307 Å
α = 110.90°, β = 110.90°, γ = 110.90°
Fractional coordinates of all 19 atoms:
Pr (0.3730, 0.0584, 0.5813)
Pr (0.0584, 0.5813, 0.3730)
Pr (0.5813, 0.3730, 0.0584)
Pr (0.6270, 0.9416, 0.4187)
Pr (0.9416, 0.4187, 0.6270)
Pr (0.4187, 0.6270, 0.9416)
Pr (0.1037, 0.1553, 0.7403)
Pr (0.2597, 0.8963, 0.8447)
Pr (0.8447, 0.2597, 0.8963)
Pr (0.8963, 0.8447, 0.2597)
Pr (0.7403, 0.1037, 0.1553)
Pr (0.1553, 0.7403, 0.1037)
Ho (0.2138, 0.3161, 0.4689)
Ho (0.6839, 0.5311, 0.7862)
Ho (0.5311, 0.7862, 0.6839)
Ho (0.7862, 0.6839, 0.5311)
Ho (0.3161, 0.4689, 0.2138)
Ho (0.4689, 0.2138, 0.3161)
Pu (0.0000, 0.0000, 0.0000)

# 4
Compound: KTl2F4
Source: the Alexandria database
Functional: PBE-GGA
Structure: relaxed

DOS at the Fermi energy: 0.65 states/eV/atom
energy relative to the elements, uncorrected: -1239 kJ/mol of formula units
V: 22.4 Å³/atom

a = 4.9948 Å, b = 4.9948 Å, c = 7.2206 Å
α = 69.76°, β = 69.76°, γ = 90.00°
Fractional coordinates of all 7 atoms:
Tl (0.3812, 0.3812, 0.2377)
Tl (0.6188, 0.6188, 0.7623)
K (0.0000, 0.0000, 0.0000)
F (0.2063, 0.2063, 0.5873)
F (0.7937, 0.7937, 0.4127)
F (0.0000, 0.5000, 0.0000)
F (0.5000, 0.0000, 0.0000)

# 5
Compound: Na3DyTe3S8
Source: the Alexandria database
Functional: PBE-GGA
Structure: relaxed

DOS at the Fermi energy: 0.12 states/eV/atom
energy relative to the elements, uncorrected: -911 kJ/mol of formula units
V: 25.5 Å³/atom

a = 7.7400 Å, b = 8.2877 Å, c = 8.0663 Å
α = 119.14°, β = 90.00°, γ = 117.84°
Fractional coordinates of all 15 atoms:
Na (0.0000, 0.0000, 0.0000)
Na (0.0000, 0.5000, 0.0000)
Na (0.5000, 0.5000, 0.0000)
Dy (0.0000, 0.0000, 0.5000)
Te (0.5000, 0.0000, 0.5000)
Te (0.5000, 0.5000, 0.5000)
Te (0.0000, 0.5000, 0.5000)
S (0.2251, 0.4502, 0.2522)
S (0.7749, 0.5498, 0.7478)
S (0.7688, 0.5375, 0.2823)
S (0.2312, 0.4625, 0.7177)
S (0.7654, 0.0472, 0.2939)
S (0.2346, 0.9528, 0.7061)
S (0.2819, 0.0472, 0.2939)
S (0.7181, 0.9528, 0.7061)

# 6
Compound: TaWBr2
Source: the Alexandria database
Functional: PBE-GGA
Structure: relaxed

DOS at the Fermi energy: 0.75 states/eV/atom
energy relative to the elements, uncorrected: 116 kJ/mol of formula units
energy above the lowest structure with this stoichiometry: 0.356 eV/atom
V: 26.1 Å³/atom

a = 7.5571 Å, b = 7.5571 Å, c = 4.4235 Å
α = 84.49°, β = 84.49°, γ = 24.50°
Fractional coordinates of all 4 atoms:
Br (0.8942, 0.8942, 0.0339)
Br (0.6058, 0.6058, 0.4661)
W (0.7500, 0.7500, 0.7500)
Ta (0.2500, 0.2500, 0.2500)

# 7
Compound: SrPmPuN3
Source: the Alexandria database
Functional: PBE-GGA
Structure: relaxed

DOS at the Fermi energy: 0.51 states/eV/atom
energy relative to the elements, uncorrected: -449 kJ/mol of formula units
V: 20.1 Å³/atom

a = 3.6817 Å, b = 7.7226 Å, c = 8.6055 Å
α = 99.59°, β = 90.00°, γ = 90.00°
Fractional coordinates of all 12 atoms:
Sr (0.7500, 0.8285, 0.8567)
Sr (0.2500, 0.1715, 0.1433)
Pm (0.2500, 0.6138, 0.1578)
Pm (0.7500, 0.3862, 0.8422)
Pu (0.2500, 0.0522, 0.5888)
Pu (0.7500, 0.9478, 0.4112)
N (0.2500, 0.7940, 0.4278)
N (0.7500, 0.9022, 0.1774)
N (0.7500, 0.4073, 0.1174)
N (0.7500, 0.2060, 0.5722)
N (0.2500, 0.5927, 0.8826)
N (0.2500, 0.0978, 0.8226)

# 8
Compound: IrRuRh
Source: the Alexandria database
Functional: PBE-GGA
Structure: relaxed

DOS at the Fermi energy: 0.96 states/eV/atom
E_form: -15 meV/atom
energy above the lowest structure with this stoichiometry: 0.001 eV/atom
V: 14.2 Å³/atom

a = 6.0945 Å, b = 6.0945 Å, c = 6.0945 Å
α = 154.26°, β = 154.26°, γ = 36.72°
Fractional coordinates of all 3 atoms:
Ru (0.6648, 0.6648, 0.0000)
Ir (0.0041, 0.0041, 0.0000)
Rh (0.3311, 0.3311, 0.0000)